Entry 1:
First-principles (PBE) data for an optimized crystal structure of VGe2PtSe, as listed in the Alexandria database.

a b c (Å): 4.979 4.979 4.553
angles (deg): 90.00 90.00 90.00
Fractional coordinates of all 5 atoms:
V 0.000 0.000 0.000
Ge 0.000 0.500 0.500
Ge 0.500 0.000 0.500
Pt 0.500 0.500 0.000
Se 0.000 0.000 0.500

Values from the calculation:
Energy ... -4.687 eV/atom
Calculated volume ... 22.57 A^3/atom
SG ... P4/mmm, No. 123

Entry 2:
First-principles (PBE) data for an optimized crystal structure of BaCdTcSn2, as listed in the Alexandria database.

a b c (Å): 6.175 6.175 6.069
angles (deg): 90.00 90.00 90.00
Fractional coordinates of all 5 atoms:
Ba 0.000 0.000 0.000
Cd 0.000 0.000 0.500
Tc 0.500 0.500 0.500
Sn 0.000 0.500 0.000
Sn 0.500 0.000 0.000

Values from the calculation:
Calculated volume ... 46.28 A^3/atom
Energy above the lowest structure with this stoichiometry ... 1935 meV/atom
Energy of formation from the pure elements ... 1.7493 eV per atom
SG ... P4/mmm, No. 123

Entry 3:
First-principles (PBE) data for an optimized crystal structure of Ti3H4Se2, as listed in the Alexandria database.

a b c (Å): 3.198 3.198 12.862
angles (deg): 90.00 90.00 120.00
Fractional coordinates of all 9 atoms:
Ti 0.000 0.000 0.000
Ti 0.000 0.000 0.449
Ti 0.667 0.333 0.659
H 0.000 0.000 0.589
H 0.000 0.000 0.719
H 0.667 0.333 0.372
H 0.667 0.333 0.510
Se 0.667 0.333 0.130
Se 0.667 0.333 0.865

Values from the calculation:
Energy ... -5.271 eV/atom
Calculated volume ... 12.66 A^3/atom
SG ... P3m1, No. 156